[1]
A plane-wave DFT calculation with PBE was carried out for a relaxed Sn2Sb2Se crystal.

Cell and atoms, written as CIF:
```
data_Sn2Sb2Se
_space_group_name_H-M_alt 'P 4/m b m'
_space_group_IT_number 127
_space_group_name_Hall '-P 4 2ab'
_cell_length_a 8.233
_cell_length_b 8.233
_cell_length_c 4.186
_cell_angle_alpha 90.00
_cell_angle_beta 90.00
_cell_angle_gamma 90.00
loop_
_atom_site_label
_atom_site_fract_x
_atom_site_fract_y
_atom_site_fract_z
Sn1 0.136 0.364 0.000
Sb1 0.179 0.679 0.500
Se1 0.000 0.000 0.500
```

Computed properties:
- Distance to the lowest polymorph of the same formula: 70 meV/atom
- Total magnetic moment: 0.000 μB/atom
- Energy relative to the elements, uncorrected: 118 meV per atom

[2]
A plane-wave DFT calculation with PBE was carried out for a relaxed IrPbW2 crystal.

Cell and atoms, written as CIF:
```
data_IrPbW2
_space_group_name_H-M_alt 'P m m m'
_space_group_IT_number 47
_space_group_name_Hall '-P 2 2'
_cell_length_a 2.844
_cell_length_b 4.002
_cell_length_c 6.573
_cell_angle_alpha 90.00
_cell_angle_beta 90.00
_cell_angle_gamma 90.00
loop_
_atom_site_label
_atom_site_fract_x
_atom_site_fract_y
_atom_site_fract_z
Ir1 0.000 0.000 0.000
Pb1 0.000 0.000 0.500
W1 0.500 0.500 0.193
```

Computed properties:
- Total magnetic moment: 0.000 μB/atom
- Energy of formation: 0.600 eV per atom

[3]
A plane-wave DFT calculation with PBE was carried out for a relaxed BPtN2 crystal.

Cell and atoms, written as CIF:
```
data_BPtN2
_space_group_name_H-M_alt 'R -3 m'
_space_group_IT_number 166
_space_group_name_Hall '-R 3 2"'
_cell_length_a 3.3270
_cell_length_b 3.3270
_cell_length_c 14.1717
_cell_angle_alpha 90.00
_cell_angle_beta 90.00
_cell_angle_gamma 120.00
loop_
_atom_site_label
_atom_site_fract_x
_atom_site_fract_y
_atom_site_fract_z
B1 0.0000 0.0000 0.0000
Pt1 0.0000 0.0000 0.5000
N1 0.0000 0.0000 0.0954
```

Computed properties:
- Total magnetic moment: 0.000 μB/atom
- Energy relative to the elements, uncorrected: 346 meV per atom

[4]
A plane-wave DFT calculation with PBE was carried out for a relaxed Cs4TbPu3O12 crystal.

Cell and atoms, written as CIF:
```
data_Cs4TbPu3O12
_space_group_name_H-M_alt 'I m -3 m'
_space_group_IT_number 229
_space_group_name_Hall '-I 4 2 3'
_cell_length_a 8.785
_cell_length_b 8.785
_cell_length_c 8.785
_cell_angle_alpha 90.00
_cell_angle_beta 90.00
_cell_angle_gamma 90.00
loop_
_atom_site_label
_atom_site_fract_x
_atom_site_fract_y
_atom_site_fract_z
Cs1 0.250 0.250 0.250
Tb1 0.000 0.000 0.000
Pu1 0.000 0.000 0.500
O1 0.000 0.000 0.269
O2 0.000 0.250 0.500
```

Computed properties:
- Total magnetic moment: 0.350 μB/atom
- Energy relative to the elements, uncorrected: -2472 meV per atom